[1]
Computed, not measured: an optimized crystal structure of MgP2Os at the PBE level of DFT.

Structure (CIF):
```
data_MgP2Os
_chemical_formula_sum 'Mg3 P6 Os3'
_cell_length_a 3.5684
_cell_length_b 3.5684
_cell_length_c 18.3337
_cell_angle_alpha 90.00
_cell_angle_beta 90.00
_cell_angle_gamma 120.00
_space_group_name_H-M_alt 'R -3 m'
_space_group_IT_number 166
_space_group_name_Hall '-R 3 2"'
loop_
_atom_site_label
_atom_site_fract_x
_atom_site_fract_y
_atom_site_fract_z
_atom_site_occupancy
Mg1 0.0000 0.0000 0.0000 1
P1 0.0000 0.0000 0.2357 1
Os1 0.0000 0.0000 0.5000 1
```

Calculated values
ΔE_f = -0.10 eV/atom

[2]
Computed, not measured: an optimized crystal structure of MgPOs2 at the PBE level of DFT.

Structure (CIF):
```
data_MgPOs2
_chemical_formula_sum 'Mg3 P3 Os6'
_cell_length_a 2.8865
_cell_length_b 2.8865
_cell_length_c 24.4777
_cell_angle_alpha 90.00
_cell_angle_beta 90.00
_cell_angle_gamma 120.00
_space_group_name_H-M_alt 'R -3 m'
_space_group_IT_number 166
_space_group_name_Hall '-R 3 2"'
loop_
_atom_site_label
_atom_site_fract_x
_atom_site_fract_y
_atom_site_fract_z
_atom_site_occupancy
Mg1 0.0000 0.0000 0.0000 1
P1 0.0000 0.0000 0.5000 1
Os1 0.0000 0.0000 0.2373 1
```

Calculated values
ΔE_f = 0.10 eV/atom
Excess energy over the best structure of this formula in the dataset = 43.5 meV/atom

[3]
Computed, not measured: an optimized crystal structure of MgP2Os at the PBE level of DFT.

Structure (CIF):
```
data_MgP2Os
_chemical_formula_sum 'Mg2 P4 Os2'
_cell_length_a 4.6438
_cell_length_b 3.1536
_cell_length_c 8.5008
_cell_angle_alpha 90.00
_cell_angle_beta 90.00
_cell_angle_gamma 90.00
_space_group_name_H-M_alt 'A m m 2'
_space_group_IT_number 38
_space_group_name_Hall 'A 2 -2'
loop_
_atom_site_label
_atom_site_fract_x
_atom_site_fract_y
_atom_site_fract_z
_atom_site_occupancy
Mg1 0.0000 0.0000 0.0000 1
P1 0.0000 0.0000 0.2763 1
P2 0.5000 0.0000 0.6672 1
Os1 0.5000 0.0000 0.3805 1
```

Calculated values
ΔE_f = -0.07 eV/atom

[4]
Computed, not measured: an optimized crystal structure of MgPOs2 at the PBE level of DFT.

Structure (CIF):
```
data_MgPOs2
_chemical_formula_sum 'Mg1 P1 Os2'
_cell_length_a 2.9427
_cell_length_b 3.7196
_cell_length_c 5.5492
_cell_angle_alpha 90.00
_cell_angle_beta 104.91
_cell_angle_gamma 90.00
_space_group_name_H-M_alt 'P 1 2/m 1'
_space_group_IT_number 10
_space_group_name_Hall '-P 2y'
loop_
_atom_site_label
_atom_site_fract_x
_atom_site_fract_y
_atom_site_fract_z
_atom_site_occupancy
Mg1 0.0000 0.0000 0.0000 1
P1 0.0000 0.0000 0.5000 1
Os1 0.3471 0.5000 0.7184 1
```

Calculated values
ΔE_f = 0.06 eV/atom
Excess energy over the best structure of this formula in the dataset = 0.0 meV/atom

[5]
Computed, not measured: an optimized crystal structure of MgP3Os at the PBE level of DFT.

Structure (CIF):
```
data_MgP3Os
_chemical_formula_sum 'Mg1 P3 Os1'
_cell_length_a 4.6533
_cell_length_b 4.6533
_cell_length_c 4.6533
_cell_angle_alpha 90.00
_cell_angle_beta 90.00
_cell_angle_gamma 90.00
_space_group_name_H-M_alt 'P m -3 m'
_space_group_IT_number 221
_space_group_name_Hall '-P 4 2 3'
loop_
_atom_site_label
_atom_site_fract_x
_atom_site_fract_y
_atom_site_fract_z
_atom_site_occupancy
Mg1 0.0000 0.0000 0.0000 1
P1 0.0000 0.5000 0.5000 1
Os1 0.5000 0.5000 0.5000 1
```

Calculated values
ΔE_f = 0.57 eV/atom
Excess energy over the best structure of this formula in the dataset = 0.0 meV/atom

[6]
Computed, not measured: an optimized crystal structure of MgPOs2 at the PBE level of DFT.

Structure (CIF):
```
data_MgPOs2
_chemical_formula_sum 'Mg2 P2 Os4'
_cell_length_a 5.6166
_cell_length_b 8.3150
_cell_length_c 2.8185
_cell_angle_alpha 90.00
_cell_angle_beta 118.68
_cell_angle_gamma 90.00
_space_group_name_H-M_alt 'C 1 2/m 1'
_space_group_IT_number 12
_space_group_name_Hall '-C 2y'
loop_
_atom_site_label
_atom_site_fract_x
_atom_site_fract_y
_atom_site_fract_z
_atom_site_occupancy
Mg1 0.0000 0.0000 0.0000 1
P1 0.0000 0.5000 0.0000 1
Os1 0.2500 0.2500 0.5000 1
```

Calculated values
ΔE_f = 0.36 eV/atom
Excess energy over the best structure of this formula in the dataset = 308.0 meV/atom